# 1
# PBE PrSmP2Pd2, relaxed
# - Energy: -6.36 eV/atom
data_PrSmP2Pd2
_cell_length_a 4.2306
_cell_length_b 4.2306
_cell_length_c 7.8728
_cell_angle_alpha 90.00
_cell_angle_beta 90.00
_cell_angle_gamma 120.00
_symmetry_space_group_name_H-M 'P -3 m 1'
_symmetry_Int_Tables_number 164
_symmetry_space_group_name_Hall '-P 3 2"'
loop_
_atom_site_label
_atom_site_type_symbol
_atom_site_fract_x
_atom_site_fract_y
_atom_site_fract_z
Pr1 Pr 0.0000 0.0000 0.0000
Sm1 Sm 0.0000 0.0000 0.5000
P1 P 0.3333 0.6667 0.7448
Pd1 Pd 0.3333 0.6667 0.2559

***

# 2
# PBE KScOsSe3, relaxed
# - Excess energy over the best structure of this formula in the dataset: 7.0 kJ per mole of atoms
# - Energy: -5.71 eV/atom
data_KScOsSe3
_cell_length_a 3.836
_cell_length_b 15.531
_cell_length_c 9.906
_cell_angle_alpha 90.00
_cell_angle_beta 90.00
_cell_angle_gamma 90.00
_symmetry_space_group_name_H-M 'C m c m'
_symmetry_Int_Tables_number 63
_symmetry_space_group_name_Hall '-C 2c 2'
loop_
_atom_site_label
_atom_site_type_symbol
_atom_site_fract_x
_atom_site_fract_y
_atom_site_fract_z
K1 K 0.000 0.244 0.250
Sc1 Sc 0.000 0.000 0.000
Os1 Os 0.000 0.485 0.750
Se1 Se 0.000 0.082 0.750
Se2 Se 0.000 0.382 0.563

***

# 3
# PBE NdGdB2Ir2C2, relaxed
# - Energy: -7.80 eV/atom
data_NdGdB2Ir2C2
_cell_length_a 3.787
_cell_length_b 3.787
_cell_length_c 7.869
_cell_angle_alpha 90.00
_cell_angle_beta 90.00
_cell_angle_gamma 90.00
_symmetry_space_group_name_H-M 'P 4 m m'
_symmetry_Int_Tables_number 99
loop_
_symmetry_equiv_pos_as_xyz
'x,y,z'
'-y,x,z'
'-x,-y,z'
'y,-x,z'
'-x,y,z'
'y,x,z'
'x,-y,z'
'-y,-x,z'
loop_
_atom_site_label
_atom_site_type_symbol
_atom_site_fract_x
_atom_site_fract_y
_atom_site_fract_z
Nd1 Nd 0.000 0.000 0.000
Gd1 Gd 0.500 0.500 0.670
B1 B 0.000 0.000 0.488
B2 B 0.500 0.500 0.179
Ir1 Ir 0.000 0.500 0.336
C1 C 0.000 0.000 0.681
C2 C 0.500 0.500 0.985

***

# 4
# PBE LiCu2Ni, relaxed
# - Energy: -3.72 eV/atom
data_LiCu2Ni
_cell_length_a 5.647
_cell_length_b 5.647
_cell_length_c 5.647
_cell_angle_alpha 90.00
_cell_angle_beta 90.00
_cell_angle_gamma 90.00
_symmetry_space_group_name_H-M 'F -4 3 m'
_symmetry_Int_Tables_number 216
_symmetry_space_group_name_Hall 'F -4 2 3'
loop_
_atom_site_label
_atom_site_type_symbol
_atom_site_fract_x
_atom_site_fract_y
_atom_site_fract_z
Li1 Li 0.000 0.000 0.000
Cu1 Cu 0.000 0.000 0.500
Cu2 Cu 0.250 0.250 0.750
Ni1 Ni 0.250 0.250 0.250

***

# 5
# PBE Gd2HoMg3In2Hg, relaxed
# - Energy: -3.12 eV/atom
data_Gd2HoMg3In2Hg
_cell_length_a 4.632
_cell_length_b 13.006
_cell_length_c 7.562
_cell_angle_alpha 90.00
_cell_angle_beta 90.00
_cell_angle_gamma 90.00
_symmetry_space_group_name_H-M 'A m m 2'
_symmetry_Int_Tables_number 38
loop_
_symmetry_equiv_pos_as_xyz
'x,y,z'
'-x,-y,z'
'-x,y,z'
'x,-y,z'
'x,y+1/2,z+1/2'
'-x,-y+1/2,z+1/2'
'-x,y+1/2,z+1/2'
'x,-y+1/2,z+1/2'
loop_
_atom_site_label
_atom_site_type_symbol
_atom_site_fract_x
_atom_site_fract_y
_atom_site_fract_z
Gd1 Gd 0.000 0.210 0.000
Ho1 Ho 0.000 0.000 0.369
Mg1 Mg 0.500 0.000 0.027
Mg2 Mg 0.500 0.120 0.669
In1 In 0.500 0.166 0.290
Hg1 Hg 0.000 0.000 0.786

***

# 6
# PBE ZrSc2Ga, relaxed
# - Energy: -6.20 eV/atom
data_ZrSc2Ga
_cell_length_a 6.920
_cell_length_b 6.920
_cell_length_c 6.920
_cell_angle_alpha 90.00
_cell_angle_beta 90.00
_cell_angle_gamma 90.00
_symmetry_space_group_name_H-M 'F -4 3 m'
_symmetry_Int_Tables_number 216
_symmetry_space_group_name_Hall 'F -4 2 3'
loop_
_atom_site_label
_atom_site_type_symbol
_atom_site_fract_x
_atom_site_fract_y
_atom_site_fract_z
Zr1 Zr 0.000 0.000 0.000
Sc1 Sc 0.000 0.000 0.500
Sc2 Sc 0.250 0.250 0.250
Ga1 Ga 0.250 0.250 0.750

***

# 7
# PBE RbCo3S5, relaxed
# - Energy: -5.19 eV/atom
data_RbCo3S5
_cell_length_a 5.3438
_cell_length_b 5.3438
_cell_length_c 7.0617
_cell_angle_alpha 90.00
_cell_angle_beta 90.00
_cell_angle_gamma 120.00
_symmetry_space_group_name_H-M 'P 6/m m m'
_symmetry_Int_Tables_number 191
_symmetry_space_group_name_Hall '-P 6 2'
loop_
_atom_site_label
_atom_site_type_symbol
_atom_site_fract_x
_atom_site_fract_y
_atom_site_fract_z
Rb1 Rb 0.0000 0.0000 0.0000
Co1 Co 0.0000 0.5000 0.5000
S1 S 0.0000 0.0000 0.5000
S2 S 0.3333 0.6667 0.2778

***

# 8
# PBE ZrCoPdPb, relaxed
# - Excess energy over the best structure of this formula in the dataset: 21.8 kJ per mole of atoms
# - Energy: -6.12 eV/atom
data_ZrCoPdPb
_cell_length_a 6.589
_cell_length_b 6.589
_cell_length_c 6.589
_cell_angle_alpha 90.00
_cell_angle_beta 90.00
_cell_angle_gamma 90.00
_symmetry_space_group_name_H-M 'F -4 3 m'
_symmetry_Int_Tables_number 216
_symmetry_space_group_name_Hall 'F -4 2 3'
loop_
_atom_site_label
_atom_site_type_symbol
_atom_site_fract_x
_atom_site_fract_y
_atom_site_fract_z
Zr1 Zr 0.000 0.000 0.000
Co1 Co 0.000 0.000 0.500
Pd1 Pd 0.250 0.250 0.750
Pb1 Pb 0.250 0.250 0.250